Compound: ScRu2Pt
Source: Alexandria
Functional: PBE
Structure: relaxed

Computed properties:
The crystal system is monoclinic. As for the total energy: -0.580 Ry/atom. The value obtained for the energy of formation is -0.16 eV per atom. As for the symmetry: P2/m.

abc: 4.706 2.844 4.768
angles: 85.08 90.00 90.00
Atoms (fractional coordinates):
Pt1 0.500 0.750 0.750
Ru1 0.000 0.947 0.996
Ru2 0.000 0.553 0.504
Sc1 0.500 0.250 0.250